Version A
Mn2VRu | PBE | optimized geometry

Cell lengths 3.432, 3.432, 9.395 Å; angles 79.47, 79.47, 90.00 degrees
Element x y z (fractional)
Mn1 0.375 0.428 0.750
Mn2 0.875 0.822 0.750
V1 0.250 0.750 0.500
Ru1 0.750 0.250 0.500
Mn3 0.178 0.625 0.250
Ru2 0.000 0.000 0.000
V2 0.500 0.500 0.000
Mn4 0.572 0.125 0.250

Summary:
spin magnetization = 2.258 μB per cell
N(E_F) = 1.50 states/eV per atom

Version B
Mn2VRu | PBE | optimized geometry

Cell lengths 4.201, 4.201, 4.201 Å; angles 60.00, 60.00, 60.00 degrees
Element x y z (fractional)
V1 0.500 0.500 0.500
Mn1 0.750 0.750 0.750
Ru1 0.000 0.000 0.000
Mn2 0.250 0.250 0.250

Summary:
spin magnetization = 3.435 μB per cell
N(E_F) = 1.77 states/eV per atom

Version C
Mn2VRu | PBE | optimized geometry

Cell lengths 3.938, 3.601, 3.601 Å; angles 90.00, 90.00, 90.00 degrees
Element x y z (fractional)
V1 0.500 0.500 0.500
Mn1 0.000 0.000 0.500
Ru1 0.500 0.000 0.000
Mn2 0.000 0.500 0.000

Summary:
spin magnetization = 3.763 μB per cell
N(E_F) = 1.20 states/eV per atom

So which one wins? Going from most stable to least: version B, version C, version A.